SiSbSe2N | Alexandria via LeMat-Bulk | PBE | optimized geometry; energy relative to the elements, uncorrected = 4.881 eV/f.u.; space-group type = P4/mmm, No. 123; excess energy over the best structure of this formula in the dataset = 0.796 eV/atom
1.0
5.3603 0.0000 0.0000
0.0000 5.3603 0.0000
0.0000 0.0000 3.8969
Si Sb Se N
1 1 2 1
Direct
0.0000 0.0000 0.0000 Si
0.5000 0.5000 0.5000 Sb
0.0000 0.5000 0.5000 Se
0.5000 0.0000 0.5000 Se
0.5000 0.5000 0.0000 N



PmH12Rh6 | Alexandria via LeMat-Bulk | PBE | optimized geometry; uncorrected energy = -4.85 eV/atom; space-group type = R-3, No. 148
1.0
4.3752 2.5260 2.3491
-4.3752 2.5260 2.3491
0.0000 -5.0520 2.3491
Pm H Rh
1 12 6
Direct
0.0000 0.0000 0.0000 Pm
0.0589 0.3770 0.8617 H
0.1383 0.9411 0.6230 H
0.1807 0.5289 0.4547 H
0.3770 0.8617 0.0589 H
0.4547 0.1807 0.5289 H
0.4711 0.5453 0.8193 H
0.5289 0.4547 0.1807 H
0.5453 0.8193 0.4711 H
0.6230 0.1383 0.9411 H
0.8193 0.4711 0.5453 H
0.8617 0.0589 0.3770 H
0.9411 0.6230 0.1383 H
0.1851 0.2642 0.5945 Rh
0.2642 0.5945 0.1851 Rh
0.4055 0.8149 0.7358 Rh
0.5945 0.1851 0.2642 Rh
0.7358 0.4055 0.8149 Rh
0.8149 0.7358 0.4055 Rh



ScAs2Br | Alexandria via LeMat-Bulk | PBE | optimized geometry; energy relative to the elements, uncorrected = -1.179 eV/f.u.; space-group type = C2/m, No. 12; excess energy over the best structure of this formula in the dataset = 0.508 eV/atom
1.0
2.8211 -4.0762 0.0000
2.8211 4.0762 0.0000
-2.0986 0.0000 3.9673
Sc As Br
1 2 1
Direct
0.0000 0.0000 0.0000 Sc
0.0000 0.5000 0.5000 As
0.5000 0.0000 0.5000 As
0.5000 0.5000 0.0000 Br



TcOs2Br | Alexandria via LeMat-Bulk | PBE | optimized geometry; energy relative to the elements, uncorrected = 3.122 eV/f.u.; space-group type = P4mm, No. 99; excess energy over the best structure of this formula in the dataset = 0.092 eV/atom
1.0
2.8504 0.0000 0.0000
0.0000 2.8504 0.0000
0.0000 0.0000 7.8986
Tc Os Br
1 2 1
Direct
0.0000 0.0000 0.0000 Tc
0.0000 0.0000 0.5420 Os
0.5000 0.5000 0.7579 Os
0.5000 0.5000 0.2228 Br